## RbSb2ICl (PBE)

Data for a relaxed RbSb2ICl crystal.

The energy relative to the lowest polymorph listed for this composition comes out at 3.995 eV/f.u. The density of states at the Fermi level comes out at 15.94 states/eV/f.u.

abc: 7.7934 7.7934 6.6524
angles: 90.00 90.00 90.00
Fractional positions:
Rb  0.0000  0.0000  0.0000
Sb  0.0000  0.5000  0.0000
Sb  0.5000  0.0000  0.0000
I  0.0000  0.0000  0.5000
Cl  0.5000  0.5000  0.5000

***

## Rb2SbI2Cl4 (PBE)

Data for a relaxed Rb2SbI2Cl4 crystal.

The density of states at the Fermi level comes out at 3.68 states/eV/f.u. The value obtained for the final energy is -2.99 eV per atom.

abc: 7.7112 7.7112 7.7112
angles: 118.36 118.36 92.86
Fractional positions:
Rb  0.2500  0.7500  0.5000
Rb  0.7500  0.2500  0.5000
Sb  0.0000  0.0000  0.0000
I  0.2739  0.2739  0.0000
I  0.7261  0.7261  0.0000
Cl  0.2294  0.2294  0.4588
Cl  0.2294  0.7706  0.0000
Cl  0.7706  0.2294  0.0000
Cl  0.7706  0.7706  0.5412

***

## Rb2ScI6Cl (PBE)

Data for a relaxed Rb2ScI6Cl crystal.

The density of states at the Fermi level comes out at 0.00 states/eV/f.u. The value obtained for the final energy is -2.93 eV per atom.

abc: 8.6035 8.6035 8.6035
angles: 115.78 115.78 97.48
Fractional positions:
Rb  0.2500  0.7500  0.5000
Rb  0.7500  0.2500  0.5000
Sc  0.0000  0.0000  0.0000
I  0.2189  0.2189  0.4379
I  0.2189  0.7811  0.0000
I  0.2703  0.2703  0.0000
I  0.7297  0.7297  0.0000
I  0.7811  0.2189  0.0000
I  0.7811  0.7811  0.5621
Cl  0.5000  0.5000  0.0000